[1]
Zr2IrC2 after structural relaxation. Source: the Alexandria database, functional PBE.

relative energy among the computed polymorphs: 0.369 eV per atom
raw total energy: -8.27 eV/atom
V: 141.2 Å³/cell
ΔH_f (0 K): 0.6137 eV per atom

abc: 6.8827 6.8827 2.9818
angles: 90.00 90.00 90.00
Element x y z (fractional)
Zr (0.8472, 0.6528, 0.0000)
C (0.8411, 0.3411, 0.5000)
C (0.3411, 0.1589, 0.5000)
C (0.6589, 0.8411, 0.5000)
C (0.1589, 0.6589, 0.5000)
Zr (0.3472, 0.8472, 0.0000)
Ir (0.5000, 0.5000, 0.0000)
Zr (0.1528, 0.3472, 0.0000)
Zr (0.6528, 0.1528, 0.0000)
Ir (0.0000, 0.0000, 0.0000)



[2]
Fe2ReNi after structural relaxation. Source: the Alexandria database, functional PBE.

raw total energy: -8.70 eV/atom
V: 50.0 Å³/cell
ΔH_f (0 K): 0.0928 eV per atom

abc: 2.5728 2.5728 7.6615
angles: 90.00 90.00 99.83
Site moments in Bohr magnetons follow the coordinates.
Element x y z (fractional)
Fe (0.0000, 0.0000, 0.0182)  2.49
Fe (0.0000, 0.0000, 0.4818)  2.49
Re (0.5000, 0.5000, 0.7500)  -0.09
Ni (0.5000, 0.5000, 0.2500)  0.76